Record 1
RuSeBr2 | PBE | relaxed

a b c (Å): 3.073 5.783 10.792
angles (deg): 90.00 90.00 90.00
Space group Cmmm (No. 65)
Inequivalent atoms, fractional coordinates:
Ru (0.000, 0.000, 0.000)
Se (0.000, 0.000, 0.500)
Br (0.000, 0.500, 0.182)

Calculated values
Energy relative to the lowest polymorph listed for this composition (meV per atom): 737
Uncorrected formation energy (eV per formula unit): 2.19

=====

Record 2
LiZn2Re | PBE | relaxed

a b c (Å): 3.061 4.296 8.833
angles (deg): 90.00 90.00 90.00
Space group Cmmm (No. 65)
Inequivalent atoms, fractional coordinates:
Li (0.000, 0.000, 0.000)
Zn (0.000, 0.500, 0.246)
Re (0.000, 0.000, 0.500)

Calculated values
Energy of formation (meV per atom): 60
Energy relative to the lowest polymorph listed for this composition (meV per atom): 71

=====

Record 3
PmErMgCo | PBE | relaxed

a b c (Å): 7.165 7.165 7.165
angles (deg): 90.00 90.00 90.00
Space group F-43m (No. 216)
Inequivalent atoms, fractional coordinates:
Pm (0.000, 0.000, 0.000)
Er (0.000, 0.000, 0.500)
Mg (0.250, 0.250, 0.250)
Co (0.250, 0.250, 0.750)

Calculated values
Energy of formation (meV per atom): 21

=====

Record 4
Zr2TcHRh | PBE | relaxed

a b c (Å): 4.591 4.591 3.543
angles (deg): 90.00 90.00 90.00
Space group P4/mmm (No. 123)
Inequivalent atoms, fractional coordinates:
Zr (0.000, 0.500, 0.000)
Tc (0.000, 0.000, 0.500)
H (0.000, 0.000, 0.000)
Rh (0.500, 0.500, 0.500)

Calculated values
Energy relative to the lowest polymorph listed for this composition (meV per atom): 4

=====

Record 5
Ca2TaMn | PBE | relaxed

a b c (Å): 4.296 4.296 10.090
angles (deg): 90.00 90.00 90.00
Space group I4/mmm (No. 139)
Inequivalent atoms, fractional coordinates:
Ca (0.000, 0.500, 0.250)
Ta (0.000, 0.000, 0.000)
Mn (0.000, 0.000, 0.500)

Calculated values
Energy of formation (meV per atom): 819
Energy relative to the lowest polymorph listed for this composition (meV per atom): 509

=====

Record 6
TbPuMgPb | PBE | relaxed

a b c (Å): 7.636 7.636 7.636
angles (deg): 90.00 90.00 90.00
Space group F-43m (No. 216)
Inequivalent atoms, fractional coordinates:
Tb (0.000, 0.000, 0.000)
Pu (0.000, 0.000, 0.500)
Mg (0.250, 0.250, 0.250)
Pb (0.250, 0.250, 0.750)

Calculated values
Energy of formation (meV per atom): -119

=====

no.,volume (Å³/f.u.),DOS at the Fermi energy (states/eV per cell)
1,95.9,11.85
2,58.1,1.84
3,91.9,10.10
4,74.7,2.79
5,93.1,8.12
6,111.3,39.09